Computed, not measured: a relaxed NpAl11Cu crystal at the PBE-GGA level of DFT.

Properties
- final energy (eV for the cell shown) = -117.68
- DOS(E_F) (states/eV per cell) = 22.46
- total magnetic moment (μB/f.u.) = 3.88

Unit cell a=5.2387 b=12.6660 c=7.0289 alpha=90.00 beta=109.74 gamma=90.00
Space group C2/m (No. 12)
Symmetry-distinct sites (fractional):
Np (0.0000, 0.0000, 0.0000) x2
Al (0.0000, 0.0000, 0.5000) x2
Al (0.1028, 0.3938, 0.2202) x8
Al (0.1731, 0.1760, 0.3534) x8
Al (0.2500, 0.2500, 0.0000) x4
Cu (0.0000, 0.5000, 0.5000) x2